Entry from Alexandria via LeMat-Bulk: a relaxed structure of Mg12Tl5Ag2 (PBE).

The theoretical density is 5.7 g/cm³. The calculation puts the density of states at the Fermi level at 12.8 states/eV per cell. For the formation energy, the calculation gives -0.02 eV per atom. The calculation puts the spin magnetization at 0.0 μB per cell. For the calculated volume, the calculation gives 889.69 Å³ per cell. Its energy is -74.14 eV per cell.

It has space group C2/m (No. 12), with a = 13.792 Å, b = 8.676 Å, c = 7.438 Å, α = 90.00°, β = 91.60° and γ = 90.00°. The asymmetric unit holds Mg at (0.054, 0.000, 0.195), Mg at (0.091, 0.500, 0.614), Mg at (0.116, 0.207, 0.851), Mg at (0.150, 0.312, 0.271), Tl at (0.000, 0.500, 0.000), Tl at (0.189, 0.000, 0.528), Tl at (0.240, 0.500, 0.934) and Ag at (0.000, 0.210, 0.500).